# 1
DFT (GGA-PBEsol) results for a relaxed structure of BiIrC2.

Cell lengths 5.262, 5.262, 9.239 Å; angles 90.00, 90.00, 90.00 degrees
Space group I-42d (No. 122)
Symmetry-distinct sites (fractional):
Bi (0.000, 0.000, 0.000)
Ir (0.000, 0.000, 0.500)
C (0.167, 0.750, 0.625)

Output
Calculated formation energy ... 4.6 eV/f.u.
ρ ... 11.0 Mg/m³
N(E_F) ... 0.346 states/eV per atom
VASP energy ... -115.4 eV for the cell shown

***

# 2
DFT (GGA-PBEsol) results for a relaxed structure of BiIrC3.

Cell lengths 4.047, 4.047, 4.047 Å; angles 90.00, 90.00, 90.00 degrees
Space group Pm-3m (No. 221)
Symmetry-distinct sites (fractional):
Bi (0.000, 0.000, 0.000)
Ir (0.500, 0.500, 0.500)
C (0.000, 0.500, 0.500)

Output
Calculated formation energy ... 9.9 eV/f.u.
ρ ... 11.0 Mg/m³
N(E_F) ... 0.594 states/eV per atom
VASP energy ... -33.1 eV for the cell shown

***

# 3
DFT (GGA-PBEsol) results for a relaxed structure of K2LiBiC.

Cell lengths 6.865, 6.865, 4.481 Å; angles 90.00, 90.00, 90.00 degrees
Space group P4/mmm (No. 123)
Symmetry-distinct sites (fractional):
K (0.000, 0.500, 0.000)
Li (0.000, 0.000, 0.500)
Bi (0.500, 0.500, 0.000)
C (0.500, 0.500, 0.500)

Output
Calculated formation energy ... 4.9 eV/f.u.
ρ ... 2.4 Mg/m³
N(E_F) ... 0.494 states/eV per atom
VASP energy ... -13.3 eV for the cell shown

***

# 4
DFT (GGA-PBEsol) results for a relaxed structure of KBiPCO7.

Cell lengths 5.082, 6.821, 9.834 Å; angles 90.00, 100.98, 90.00 degrees
Space group P2_1 (No. 4)
Symmetry-distinct sites (fractional):
K (0.061, 0.000, 0.142)
Bi (0.277, 0.912, 0.649)
P (0.314, 0.409, 0.577)
C (0.444, 0.900, 0.924)
O (0.170, 0.405, 0.423)
O (0.187, 0.897, 0.866)
O (0.228, 0.587, 0.656)
O (0.230, 0.235, 0.661)
O (0.383, 0.910, 0.425)
O (0.387, 0.392, 0.164)
O (0.470, 0.409, 0.948)

Output
Energy relative to the elements, uncorrected ... -1667 meV per atom
ρ ... 4.0 Mg/m³
N(E_F) ... 0.326 states/eV per atom
VASP energy ... -151.9 eV for the cell shown

***

# 5
DFT (GGA-PBEsol) results for a relaxed structure of Li2BiC.

Cell lengths 3.756, 3.756, 16.881 Å; angles 90.00, 90.00, 90.00 degrees
Space group I-42d (No. 122)
Symmetry-distinct sites (fractional):
Li (0.173, 0.750, 0.125)
Bi (0.000, 0.000, 0.500)
C (0.000, 0.000, 0.000)

Output
Calculated formation energy ... 2.9 eV/f.u.
ρ ... 6.5 Mg/m³
N(E_F) ... 0.257 states/eV per atom
VASP energy ... -59.9 eV for the cell shown

***

# 6
DFT (GGA-PBEsol) results for a relaxed structure of LiScBi2C.

Cell lengths 5.573, 5.573, 4.239 Å; angles 90.00, 90.00, 90.00 degrees
Space group P4/mmm (No. 123)
Symmetry-distinct sites (fractional):
Li (0.000, 0.000, 0.000)
Sc (0.500, 0.500, 0.500)
Bi (0.000, 0.500, 0.500)
C (0.500, 0.500, 0.000)

Output
Calculated formation energy ... 3.6 eV/f.u.
ρ ... 6.1 Mg/m³
N(E_F) ... 0.546 states/eV per atom
VASP energy ... -23.2 eV for the cell shown

***

# 7
DFT (GGA-PBEsol) results for a relaxed structure of Mg2BiC.

Cell lengths 6.707, 6.707, 6.707 Å; angles 90.00, 90.00, 90.00 degrees
Space group Fm-3m (No. 225)
Symmetry-distinct sites (fractional):
Mg (0.250, 0.250, 0.250)
Bi (0.000, 0.000, 0.000)
C (0.000, 0.000, 0.500)

Output
Calculated formation energy ... 4.1 eV/f.u.
ρ ... 5.9 Mg/m³
N(E_F) ... 0.524 states/eV per atom
VASP energy ... -53.0 eV for the cell shown

***

# 8
DFT (GGA-PBEsol) results for a relaxed structure of MgTa2BiC.

Cell lengths 5.234, 5.234, 4.441 Å; angles 90.00, 90.00, 90.00 degrees
Space group P4/mmm (No. 123)
Symmetry-distinct sites (fractional):
Mg (0.000, 0.000, 0.000)
Ta (0.000, 0.500, 0.500)
Bi (0.500, 0.500, 0.500)
C (0.500, 0.500, 0.000)

Output
Calculated formation energy ... 13.3 eV/f.u.
ρ ... 8.3 Mg/m³
N(E_F) ... 1.365 states/eV per atom
VASP energy ... -27.5 eV for the cell shown

***

# 9
DFT (GGA-PBEsol) results for a relaxed structure of Mn2BiC.

Cell lengths 6.105, 6.105, 6.105 Å; angles 90.00, 90.00, 90.00 degrees
Space group Fm-3m (No. 225)
Symmetry-distinct sites (fractional):
Mn (0.250, 0.250, 0.250)
Bi (0.000, 0.000, 0.000)
C (0.000, 0.000, 0.500)

Output
Calculated formation energy ... 6.1 eV/f.u.
ρ ... 9.7 Mg/m³
N(E_F) ... 1.183 states/eV per atom
VASP energy ... -109.4 eV for the cell shown

***

# 10
DFT (GGA-PBEsol) results for a relaxed structure of Mn3BiC.

Cell lengths 3.895, 3.895, 3.895 Å; angles 90.00, 90.00, 90.00 degrees
Space group Pm-3m (No. 221)
Symmetry-distinct sites (fractional):
Mn (0.000, 0.000, 0.500)
Bi (0.500, 0.500, 0.500)
C (0.000, 0.000, 0.000)

Output
Calculated formation energy ... 1.3 eV/f.u.
ρ ... 10.8 Mg/m³
N(E_F) ... 0.764 states/eV per atom
VASP energy ... -41.9 eV for the cell shown

***

# 11
DFT (GGA-PBEsol) results for a relaxed structure of BiMoC3.

Cell lengths 4.105, 4.105, 4.105 Å; angles 90.00, 90.00, 90.00 degrees
Space group Pm-3m (No. 221)
Symmetry-distinct sites (fractional):
Bi (0.000, 0.000, 0.000)
Mo (0.500, 0.500, 0.500)
C (0.000, 0.500, 0.500)

Output
Calculated formation energy ... 8.7 eV/f.u.
ρ ... 8.2 Mg/m³
N(E_F) ... 0.629 states/eV per atom
VASP energy ... -36.3 eV for the cell shown

***

# 12
DFT (GGA-PBEsol) results for a relaxed structure of BiCN3.

Cell lengths 3.577, 3.577, 3.577 Å; angles 90.00, 90.00, 90.00 degrees
Space group Pm-3m (No. 221)
Symmetry-distinct sites (fractional):
Bi (0.000, 0.000, 0.000)
C (0.500, 0.500, 0.500)
N (0.000, 0.500, 0.500)

Output
Energy relative to the elements, uncorrected ... 1984 meV per atom
ρ ... 9.5 Mg/m³
N(E_F) ... 0.428 states/eV per atom
VASP energy ... -29.6 eV for the cell shown

***

# 13
DFT (GGA-PBEsol) results for a relaxed structure of RbBiC4S4N4.

Cell lengths 7.822, 10.989, 6.414 Å; angles 90.00, 90.00, 90.00 degrees
Space group P2_12_12 (No. 18)
Symmetry-distinct sites (fractional):
Rb (0.000, 0.000, 0.169)
Bi (0.000, 0.500, 0.511)
C (0.044, 0.367, 0.945)
C (0.197, 0.760, 0.617)
S (0.076, 0.675, 0.135)
S (0.166, 0.904, 0.652)
N (0.129, 0.399, 0.800)
N (0.216, 0.654, 0.592)

Output
Energy relative to the elements, uncorrected ... 31 meV per atom
ρ ... 3.2 Mg/m³
N(E_F) ... 0.000 states/eV per atom
VASP energy ... -190.2 eV for the cell shown

***

# 14
DFT (GGA-PBEsol) results for a relaxed structure of ScBiCN2.

Cell lengths 4.118, 4.118, 4.207 Å; angles 90.00, 90.00, 90.00 degrees
Space group P4/mmm (No. 123)
Symmetry-distinct sites (fractional):
Sc (0.000, 0.000, 0.000)
Bi (0.500, 0.500, 0.500)
C (0.000, 0.000, 0.500)
N (0.000, 0.500, 0.000)

Output
Energy relative to the elements, uncorrected ... 1135 meV per atom
ρ ... 6.8 Mg/m³
N(E_F) ... 0.846 states/eV per atom
VASP energy ... -31.9 eV for the cell shown

***

# 15
DFT (GGA-PBEsol) results for a relaxed structure of BiTe2CN.

Cell lengths 6.642, 6.642, 2.665 Å; angles 90.00, 90.00, 90.00 degrees
Space group P4/mmm (No. 123)
Symmetry-distinct sites (fractional):
Bi (0.000, 0.000, 0.000)
Te (0.000, 0.500, 0.500)
C (0.500, 0.500, 0.500)
N (0.500, 0.500, 0.000)

Output
Energy relative to the elements, uncorrected ... 941 meV per atom
ρ ... 6.9 Mg/m³
N(E_F) ... 0.541 states/eV per atom
VASP energy ... -24.8 eV for the cell shown

***

# 16
DFT (GGA-PBEsol) results for a relaxed structure of NaBiC3.

Cell lengths 4.560, 4.560, 4.560 Å; angles 90.00, 90.00, 90.00 degrees
Space group Pm-3m (No. 221)
Symmetry-distinct sites (fractional):
Na (0.000, 0.000, 0.000)
Bi (0.500, 0.500, 0.500)
C (0.000, 0.500, 0.500)

Output
Distance to the lowest polymorph of the same formula ... 0 meV/atom
Calculated formation energy ... 15.0 eV/f.u.
ρ ... 4.7 Mg/m³
N(E_F) ... 0.964 states/eV per atom
VASP energy ... -19.6 eV for the cell shown

***

# 17
DFT (GGA-PBEsol) results for a relaxed structure of NaBiC3.

Cell lengths 4.197, 4.197, 4.197 Å; angles 90.00, 90.00, 90.00 degrees
Space group Pm-3m (No. 221)
Symmetry-distinct sites (fractional):
Na (0.000, 0.000, 0.000)
Bi (0.500, 0.500, 0.500)
C (0.000, 0.000, 0.500)

Output
Distance to the lowest polymorph of the same formula ... 343 meV/atom
Calculated formation energy ... 16.7 eV/f.u.
ρ ... 6.0 Mg/m³
N(E_F) ... 0.617 states/eV per atom
VASP energy ... -17.9 eV for the cell shown

***

# 18
DFT (GGA-PBEsol) results for a relaxed structure of Na5Bi2PC4O16.

Cell lengths 14.262, 14.504, 14.799 Å; angles 90.00, 90.00, 90.00 degrees
Space group F222 (No. 22)
Symmetry-distinct sites (fractional):
Na (0.000, 0.000, 0.195)
Na (0.000, 0.196, 0.000)
Na (0.055, 0.250, 0.750)
Na (0.196, 0.000, 0.000)
Na (0.250, 0.058, 0.750)
Bi (0.130, 0.126, 0.380)
P (0.000, 0.000, 0.000)
P (0.250, 0.250, 0.750)
C (0.095, 0.091, 0.596)
C (0.147, 0.148, 0.162)
O (0.029, 0.153, 0.598)
O (0.062, 0.062, 0.939)
O (0.086, 0.146, 0.227)
O (0.098, 0.028, 0.660)
O (0.143, 0.212, 0.101)
O (0.156, 0.089, 0.532)
O (0.185, 0.186, 0.808)
O (0.211, 0.085, 0.157)

Output
Energy relative to the elements, uncorrected ... -1613 meV per atom
ρ ... 3.8 Mg/m³
N(E_F) ... 0.280 states/eV per atom
VASP energy ... -1512.7 eV for the cell shown

***

# 19
DFT (GGA-PBEsol) results for a relaxed structure of Na4Bi2PC4O16.

Cell lengths 14.055, 14.386, 15.378 Å; angles 90.00, 90.00, 90.00 degrees
Space group Fddd (No. 70, origin choice 2)
Symmetry-distinct sites (fractional):
Na (0.078, 0.375, 0.375)
Na (0.125, 0.327, 0.125)
Bi (0.000, 0.000, 0.500)
P (0.125, 0.125, 0.125)
C (0.023, 0.027, 0.713)
O (0.016, 0.088, 0.773)
O (0.034, 0.278, 0.897)
O (0.061, 0.062, 0.068)
O (0.089, 0.287, 0.532)

Output
Energy relative to the elements, uncorrected ... -1546 meV per atom
ρ ... 3.6 Mg/m³
N(E_F) ... 0.340 states/eV per atom
VASP energy ... -1474.2 eV for the cell shown